A plane-wave DFT calculation with PBE-GGA was carried out for ZnCd2Pd3 after structural relaxation.

Summary:
- E_tot: -3.56 eV/atom
- Mass density: 10.22 Mg/m³
- Energy of formation from the pure elements: -0.44 eV/atom

Structure (POSCAR):
```
ZnCd2Pd3
1.0
2.130 -6.395 0.000
2.130 6.395 0.000
0.000 0.000 7.269
Zn Cd Pd
2 4 6
direct
0.166 0.834 0.000 Zn
0.834 0.166 0.000 Zn
0.167 0.833 0.500 Cd
0.500 0.500 0.000 Cd
0.500 0.500 0.500 Cd
0.833 0.167 0.500 Cd
0.000 0.000 0.239 Pd
0.000 0.000 0.761 Pd
0.329 0.671 0.229 Pd
0.329 0.671 0.771 Pd
0.671 0.329 0.229 Pd
0.671 0.329 0.771 Pd
```